A plane-wave DFT calculation with PBE was carried out for a relaxed Dy2Er2In3 crystal.

Cell lengths 3.5278, 3.5278, 15.4346 Å; angles 83.39, 83.44, 90.00 degrees
Closest atoms and distances in Å follow each position.
Fractional coordinates of all 7 atoms:
1 Dy 0.5700 0.5702 0.8600  8 In 3.28, 4 Dy 3.53
2 Dy 0.4300 0.4298 0.1400  8 In 3.28, 4 Dy 3.53
3 Er 0.7090 0.7089 0.5819  4 In 3.26-3.27, 8 Er 3.53
4 Er 0.2910 0.2911 0.4181  4 In 3.26-3.27, 8 Er 3.53
5 In 0.8601 0.8599 0.2798  4 Er 3.26-3.27, 4 Dy 3.28, 4 In 3.53
6 In 0.0000 0.0000 0.0000  8 Dy 3.28, 4 In 3.53
7 In 0.1399 0.1401 0.7202  4 Er 3.26-3.27, 4 Dy 3.28, 4 In 3.53

## Properties
Energy relative to the elements, eV/atom: -0.403
Crystal system: monoclinic
Total moment, Bohr magnetons per cell: 0.000
V, Å³/f.u.: 190
Final energy, eV per atom: -4.195

=====

A plane-wave DFT calculation with PBE was carried out for a relaxed Dy8ErIn6 crystal.

Cell lengths 9.0150, 9.0150, 8.3122 Å; angles 57.16, 57.16, 60.00 degrees
Closest atoms and distances in Å follow each position.
Fractional coordinates of all 15 atoms:
1 Dy 0.5536 0.2203 0.3389  5 In 3.14-3.34
2 Dy 0.7797 0.1128 0.6611  5 In 3.14-3.34
3 Dy 0.1128 0.4464 0.6611  5 In 3.14-3.34
4 Dy 0.6665 0.6665 0.0006  6 In 3.22
5 Dy 0.3335 0.3335 0.9994  6 In 3.22
6 Dy 0.8872 0.5536 0.3389  5 In 3.14-3.34
7 Dy 0.2203 0.8872 0.3389  5 In 3.14-3.34
8 Dy 0.4464 0.7797 0.6611  5 In 3.14-3.34
9 Er 0.0000 0.0000 0.0000  6 In 3.21
10 In 0.3910 0.0589 0.8234  7 Dy 3.14-3.34, 1 Er 3.21
11 In 0.9411 0.2733 0.1766  7 Dy 3.14-3.34, 1 Er 3.21
12 In 0.2733 0.6090 0.1766  7 Dy 3.14-3.34, 1 Er 3.21
13 In 0.7267 0.3910 0.8234  7 Dy 3.14-3.34, 1 Er 3.21
14 In 0.0589 0.7267 0.8234  7 Dy 3.14-3.34, 1 Er 3.21
15 In 0.6090 0.9411 0.1766  7 Dy 3.14-3.34, 1 Er 3.21

## Properties
Energy relative to the elements, eV/atom: -0.212
Crystal system: trigonal
Total moment, Bohr magnetons per cell: 0.000
V, Å³/f.u.: 456
Final energy, eV per atom: -4.066

=====

A plane-wave DFT calculation with PBE was carried out for a relaxed DyEr4In4 crystal.

Cell lengths 7.1481, 7.1481, 10.5307 Å; angles 90.00, 90.00, 90.00 degrees
Closest atoms and distances in Å follow each position.
Fractional coordinates of all 18 atoms:
1 Dy 0.0000 0.0000 0.0000  4 In 3.61, 8 Er 4.03
2 Dy 0.5000 0.5000 0.5000  4 In 3.61, 8 Er 4.03
3 Er 0.2289 0.5000 0.9162  5 In 3.10-3.15, 3 Er 3.26-3.27
4 Er 0.7711 0.5000 0.9162  5 In 3.10-3.15, 3 Er 3.26-3.27
5 Er 0.5000 0.7711 0.0838  5 In 3.10-3.15, 3 Er 3.26-3.27
6 Er 0.5000 0.2289 0.0838  5 In 3.10-3.15, 3 Er 3.26-3.27
7 Er 0.0000 0.7289 0.4162  5 In 3.10-3.15, 3 Er 3.26-3.27
8 Er 0.0000 0.2711 0.4162  5 In 3.10-3.15, 3 Er 3.26-3.27
9 Er 0.2711 0.0000 0.5838  5 In 3.10-3.15, 3 Er 3.26-3.27
10 Er 0.7289 0.0000 0.5838  5 In 3.10-3.15, 3 Er 3.26-3.27
11 In 0.5000 0.7804 0.7851  5 Er 3.10-3.15, 1 In 3.14
12 In 0.5000 0.2196 0.7851  5 Er 3.10-3.15, 1 In 3.14
13 In 0.7804 0.5000 0.2149  5 Er 3.10-3.15, 1 In 3.14
14 In 0.2196 0.5000 0.2149  5 Er 3.10-3.15, 1 In 3.14
15 In 0.2804 0.0000 0.2851  5 Er 3.10-3.15, 1 In 3.14
16 In 0.7196 0.0000 0.2851  5 Er 3.10-3.15, 1 In 3.14
17 In 0.0000 0.2804 0.7149  5 Er 3.10-3.15, 1 In 3.14
18 In 0.0000 0.7196 0.7149  5 Er 3.10-3.15, 1 In 3.14

## Properties
Energy relative to the elements, eV/atom: -0.121
Crystal system: tetragonal
Total moment, Bohr magnetons per cell: 0.000
V, Å³/f.u.: 269
Final energy, eV per atom: -3.877

=====

A plane-wave DFT calculation with PBE was carried out for a relaxed Dy8ErIn2 crystal.

Cell lengths 5.6280, 8.7770, 8.7770 Å; angles 119.62, 102.72, 102.72 degrees
Closest atoms and distances in Å follow each position.
Fractional coordinates of all 11 atoms:
1 Dy 0.8750 0.9053 0.6762  2 In 3.18-3.36, 4 Dy 3.33-3.52
2 Dy 0.8750 0.6762 0.9053  2 In 3.18-3.36, 4 Dy 3.33-3.52
3 Dy 0.2961 0.5954 0.5954  1 Dy 3.01, 1 Er 3.24, 2 In 3.30
4 Dy 0.5000 0.7850 0.2150  2 In 3.14, 1 Er 3.26
5 Dy 0.5000 0.2150 0.7850  2 In 3.14, 1 Er 3.26
6 Dy 0.7039 0.4046 0.4046  1 Dy 3.01, 1 Er 3.24, 2 In 3.30
7 Dy 0.1250 0.3238 0.0947  2 In 3.18-3.36, 4 Dy 3.33-3.52
8 Dy 0.1250 0.0947 0.3238  2 In 3.18-3.36, 4 Dy 3.33-3.52
9 Er 0.5000 0.0000 0.0000  8 Dy 3.24-3.62
10 In 0.0000 0.3067 0.6933  8 Dy 3.14-3.36
11 In 0.0000 0.6933 0.3067  8 Dy 3.14-3.36

## Properties
Energy relative to the elements, eV/atom: -0.037
Crystal system: monoclinic
Total moment, Bohr magnetons per cell: 0.001
V, Å³/f.u.: 339
Final energy, eV per atom: -4.297